# 1
Here is an optimized crystal structure of Pm4Nd4Sm from Alexandria via LeMat-Bulk. Energies are from GGA-PBE.

Results
As for the energy of formation from the pure elements: 0.0128 eV/atom. The space group is I4/mmm. The value obtained for the spin magnetization is 0.000 μB per cell.

Structure (POSCAR):
```
Pm4Nd4Sm
1.0
-5.493 5.493 2.590
5.493 -5.493 2.590
5.493 5.493 -2.590
Pm Nd Sm
4 4 1
Direct
0.000 0.334 0.334 Pm
0.000 0.666 0.666 Pm
0.334 0.000 0.334 Pm
0.666 0.000 0.666 Pm
0.333 0.333 0.667 Nd
0.333 0.667 0.000 Nd
0.667 0.333 0.000 Nd
0.667 0.667 0.333 Nd
0.000 0.000 0.000 Sm
```

=====

# 2
Here is an optimized crystal structure of Ca2ZrSb from Alexandria via LeMat-Bulk. Energies are from GGA-PBE.

Results
For the formation energy from raw total energies, the calculation gives -130 meV/atom. The space group is P4/mmm. The value obtained for the spin magnetization is 0.718 μB per cell.

Structure (POSCAR):
```
Ca2ZrSb
1.0
3.369 0.000 0.000
0.000 3.369 0.000
0.000 0.000 10.117
Ca Zr Sb
2 1 1
Direct
0.000 0.000 0.237 Ca
0.000 0.000 0.763 Ca
0.500 0.500 0.500 Zr
0.500 0.500 0.000 Sb
```

=====

# 3
Here is an optimized crystal structure of TbCeOs from Alexandria via LeMat-Bulk. Energies are from GGA-PBE.

Results
Its relative energy among the computed polymorphs is 261.5 meV/atom. As for the energy of formation from the pure elements: 0.0182 eV/atom. The space group is P3m1. The value obtained for the spin magnetization is 0.181 μB per cell.

Structure (POSCAR):
```
TbCeOs
1.0
4.470 0.000 0.000
-2.235 3.871 0.000
0.000 0.000 4.256
Tb Ce Os
1 1 1
Direct
0.000 0.000 0.000 Tb
0.667 0.333 0.458 Ce
0.333 0.667 0.693 Os
```

=====

Respective N(E_F) values: 14.37 4.66 3.76 states/eV per cell.